Computed, not measured: crystalline Be3SiNi4 at its relaxed geometry at the PBE-GGA level of DFT.

Cell and atoms, written as extended XYZ:
```
8
Lattice="3.6245 0.0000 1.0699 1.6543 3.2250 1.0699 0.0398 0.0243 6.5396" Properties=species:S:1:pos:R:3 pbc="T T T"
Ni 3.2940 2.0124 2.1895
Ni 0.6909 0.4221 4.3338
Ni 2.0246 1.2369 6.4899
Ni 4.6278 2.8272 4.3456
Be 3.9998 2.4435 6.4731
Be 1.3189 0.8057 2.2063
Be 2.6593 1.6246 4.3397
Si 0.0000 0.0000 0.0000
```

Results
**Energy relative to the elements, uncorrected**: -11.543 kcal/mol of atoms
**Symmetry**: R-3m, No. 166